(1)
VASP calculation (GGA-PBE) on a geometry-optimized TbTlAu3O4 structure. Values from VASP.

Properties
energy: -40.6 eV per cell
total magnetic moment: 0.9 Bohr magnetons per cell

Quantum ESPRESSO input file:
```
&SYSTEM
  ibrav = 0, nat = 9, ntyp = 4
/
ATOMIC_SPECIES
O 16.00 O.upf
Au 196.97 Au.upf
Tb 158.93 Tb.upf
Tl 204.38 Tl.upf
CELL_PARAMETERS angstrom
5.679 0.000 0.000
0.000 5.679 0.000
0.000 0.000 5.679
ATOMIC_POSITIONS crystal
O 0.223 0.777 0.223
O 0.223 0.223 0.777
O 0.777 0.223 0.223
O 0.777 0.777 0.777
Au 0.500 0.000 0.000
Au 0.000 0.000 0.500
Au 0.000 0.500 0.000
Tb 0.000 0.000 0.000
Tl 0.500 0.500 0.500
```

(2)
VASP calculation (GGA-PBE) on a geometry-optimized ZrInNiHg structure. Values from VASP.

Properties
energy: -17.5 eV per cell
total magnetic moment: 0.0 Bohr magnetons per cell

Quantum ESPRESSO input file:
```
&SYSTEM
  ibrav = 0, nat = 4, ntyp = 4
/
ATOMIC_SPECIES
In 114.82 In.upf
Zr 91.22 Zr.upf
Hg 200.59 Hg.upf
Ni 58.69 Ni.upf
CELL_PARAMETERS angstrom
0.000 3.362 3.362
3.362 0.000 3.362
3.362 3.362 0.000
ATOMIC_POSITIONS crystal
In 0.000 0.000 0.000
Zr 0.500 0.500 0.500
Hg 0.250 0.250 0.250
Ni 0.750 0.750 0.750
```